1.
## PmH8PtRh2 (PBE)

Data for an optimized crystal structure of PmH8PtRh2.

Lattice parameters (Å, degrees): 4.057 5.007 6.566 62.08 72.01 66.10
Fractional coordinates of all 12 atoms:
1 Pm 0.500 0.500 0.500
2 H 0.852 0.742 0.555
3 H 0.704 0.456 0.137
4 H 0.148 0.258 0.445
5 H 0.296 0.544 0.863
6 H 0.635 0.007 0.232
7 H 0.365 0.993 0.768
8 H 0.126 0.007 0.232
9 H 0.874 0.993 0.768
10 Pt 0.000 0.000 0.000
11 Rh 0.256 0.324 0.164
12 Rh 0.744 0.676 0.836

Results
Size of the total moment, μB/cell: 0.0
Calculated volume, Å³ per cell: 107
Space-group type: C2/m (12)

2.
## YMo2Pt (PBE)

Data for an optimized crystal structure of YMo2Pt.

Lattice parameters (Å, degrees): 2.851 2.851 8.887 90.00 90.00 90.00
Fractional coordinates of all 4 atoms:
1 Mo 0.000 0.000 0.020
2 Mo 0.500 0.500 0.266
3 Pt 0.000 0.000 0.474
4 Y 0.500 0.500 0.739

Results
Size of the total moment, μB/cell: 0.0
Calculated formation energy, eV/atom: 0.059
E above lowest polymorph, meV/atom: 196
Calculated volume, Å³ per cell: 72
Space-group type: P4mm (99)

3.
## MgPa2GeN5 (PBE)

Data for an optimized crystal structure of MgPa2GeN5.

Lattice parameters (Å, degrees): 3.289 6.981 9.813 90.00 90.00 103.63
Fractional coordinates of all 18 atoms:
1 Mg 0.791 0.582 0.511
2 Mg 0.209 0.418 0.011
3 Pa 0.857 0.713 0.808
4 Pa 0.119 0.237 0.679
5 Pa 0.143 0.287 0.308
6 Pa 0.881 0.763 0.179
7 Ge 0.548 0.097 0.952
8 Ge 0.452 0.903 0.452
9 N 0.362 0.725 0.004
10 N 0.681 0.362 0.865
11 N 0.491 0.982 0.779
12 N 0.286 0.572 0.674
13 N 0.952 0.903 0.551
14 N 0.638 0.275 0.504
15 N 0.319 0.638 0.365
16 N 0.509 0.018 0.279
17 N 0.714 0.428 0.174
18 N 0.048 0.097 0.051

Results
Size of the total moment, μB/cell: 0.0
Calculated volume, Å³ per cell: 219
Space-group type: Cmc2_1 (36)
E_form (uncorrected), meV per atom: -988

4.
## Ca2Bi2Au15 (PBE)

Data for an optimized crystal structure of Ca2Bi2Au15.

Lattice parameters (Å, degrees): 7.433 7.433 7.433 84.14 84.14 84.14
Fractional coordinates of all 19 atoms:
1 Ca 0.361 0.361 0.361
2 Ca 0.639 0.639 0.639
3 Bi 0.107 0.107 0.107
4 Bi 0.893 0.893 0.893
5 Au 0.500 0.000 0.000
6 Au 0.000 0.000 0.500
7 Au 0.000 0.500 0.000
8 Au 0.000 0.658 0.342
9 Au 0.658 0.342 0.000
10 Au 0.342 0.000 0.658
11 Au 0.342 0.658 0.000
12 Au 0.658 0.000 0.342
13 Au 0.000 0.342 0.658
14 Au 0.182 0.663 0.663
15 Au 0.663 0.663 0.182
16 Au 0.663 0.182 0.663
17 Au 0.818 0.337 0.337
18 Au 0.337 0.337 0.818
19 Au 0.337 0.818 0.337

Results
Size of the total moment, μB/cell: 0.0
Calculated formation energy, eV/atom: -0.242
Calculated volume, Å³ per cell: 405
Space-group type: R-3m (166)

Which energy belongs to each record? In order, -0.3343 -0.6235 -0.6184 -0.2535 Ry per atom.
Which N(E_F) belongs to each record? In order, 3.16 3.61 5.06 8.15 states/eV/cell.